First-principles (GGA-PBE) data for AlBTe2N after structural relaxation, as listed in Alexandria.

Output
Excess energy over the best structure of this formula in the dataset (eV per atom): 0.871
ΔE_f (raw) (eV per atom): 1.06
Symmetry: P4/mmm, No. 123
ρ (Mg/m³): 4.68

```
data_AlBTe2N
_chemical_formula_sum 'Al1 B1 Te2 N1'
_cell_length_a 5.651
_cell_length_b 5.651
_cell_length_c 3.413
_cell_angle_alpha 90.00
_cell_angle_beta 90.00
_cell_angle_gamma 90.00
_symmetry_space_group_name_H-M 'P 1'
_symmetry_Int_Tables_number 1
_symmetry_space_group_name_Hall 'P 1'
loop_
_atom_site_label
_atom_site_type_symbol
_atom_site_fract_x
_atom_site_fract_y
_atom_site_fract_z
N1 N 0.000 0.000 0.500
Te1 Te 0.000 0.500 0.000
Te2 Te 0.500 0.000 0.000
B1 B 0.500 0.500 0.500
Al1 Al 0.000 0.000 0.000
```

First-principles (GGA-PBE) data for YAl2BN4 after structural relaxation, as listed in Alexandria.

Output
ΔE_f (raw) (eV per atom): -0.90
Symmetry: Pm, No. 6
ρ (Mg/m³): 3.98

```
data_YAl2BN4
_chemical_formula_sum 'Y1 Al2 B1 N4'
_cell_length_a 3.118
_cell_length_b 4.348
_cell_length_c 6.447
_cell_angle_alpha 89.41
_cell_angle_beta 90.00
_cell_angle_gamma 90.00
_symmetry_space_group_name_H-M 'P 1'
_symmetry_Int_Tables_number 1
_symmetry_space_group_name_Hall 'P 1'
loop_
_atom_site_label
_atom_site_type_symbol
_atom_site_fract_x
_atom_site_fract_y
_atom_site_fract_z
Y1 Y 0.000 0.992 0.978
N1 N 0.000 0.677 0.713
N2 N 0.500 0.355 0.977
N3 N 0.500 0.248 0.535
N4 N 0.000 0.747 0.279
Al1 Al 0.500 0.508 0.270
Al2 Al 0.000 0.989 0.512
B1 B 0.500 0.484 0.735
```